Entry 1:
The following is a DFT calculation (PBE) of BaZn2Au after structural relaxation.

```
BaZn2Au
1.0
4.341 0.002 -1.003
-1.116 8.460 -4.783
0.310 0.327 11.146
Ba Zn Au
4 8 4
Direct
0.704 0.768 0.407 Ba
0.518 0.260 0.035 Ba
0.482 0.740 0.965 Ba
0.296 0.232 0.593 Ba
0.932 0.412 0.867 Zn
0.705 0.385 0.409 Zn
0.649 0.072 0.298 Zn
0.295 0.615 0.591 Zn
0.123 0.171 0.245 Zn
0.068 0.588 0.133 Zn
0.877 0.829 0.755 Zn
0.351 0.928 0.702 Zn
0.845 0.533 0.690 Au
0.155 0.467 0.310 Au
0.123 0.897 0.245 Au
0.877 0.103 0.755 Au
```

Summary:
Space group: P-1, No. 2
DOS at the Fermi energy: 2.347 states/eV/f.u.
Formation enthalpy at 0 K: -0.401 eV/atom
Size of the total moment: 0.000 μB per atom
Total energy: -37.4 eV/cell

---

Entry 2:
The following is a DFT calculation (PBE) of BaZnAu after structural relaxation.

```
BaZnAu
1.0
-3.074 -1.315 -3.308
-0.834 -1.005 4.519
-2.178 3.912 0.468
Zn Au Ba
1 1 1
Direct
0.333 0.667 0.833 Zn
0.000 0.000 0.834 Au
0.667 0.333 0.333 Ba
```

Summary:
Space group: P-6m2, No. 187
DOS at the Fermi energy: 2.612 states/eV/f.u.
Formation enthalpy at 0 K: -0.542 eV/atom
Size of the total moment: 0.000 μB per atom
Total energy: -8.1 eV/cell

---

Entry 3:
The following is a DFT calculation (PBE) of Ba6Zn2Au after structural relaxation.

```
Ba6Zn2Au
1.0
-5.165 -6.942 5.041
9.817 -1.177 1.590
2.074 1.044 9.742
Ba Zn Au
12 4 2
Direct
0.166 0.755 0.079 Ba
0.834 0.245 0.921 Ba
0.166 0.245 0.589 Ba
0.834 0.755 0.411 Ba
0.454 0.270 0.817 Ba
0.546 0.730 0.183 Ba
0.087 0.270 0.183 Ba
0.913 0.730 0.817 Ba
0.332 0.024 0.309 Ba
0.668 0.976 0.691 Ba
0.332 0.641 0.691 Ba
0.668 0.359 0.309 Ba
0.108 0.608 0.500 Zn
0.892 0.392 0.500 Zn
0.344 0.000 0.656 Zn
0.656 0.000 0.344 Zn
0.500 0.500 0.000 Au
0.000 0.000 0.000 Au
```

Summary:
Space group: Immm, No. 71
DOS at the Fermi energy: 11.768 states/eV/f.u.
Formation enthalpy at 0 K: -0.191 eV/atom
Size of the total moment: 0.000 μB per atom
Total energy: -38.2 eV/cell

---

Entry 4:
The following is a DFT calculation (PBE) of BaZn4Au after structural relaxation.

```
BaZn4Au
1.0
0.000 3.972 3.972
3.972 0.000 3.972
3.972 3.972 0.000
Ba Zn Au
1 4 1
Direct
0.000 0.000 0.000 Ba
0.866 0.378 0.378 Zn
0.378 0.378 0.866 Zn
0.378 0.866 0.378 Zn
0.378 0.378 0.378 Zn
0.750 0.750 0.750 Au
```

Summary:
Space group: F-43m, No. 216
DOS at the Fermi energy: 3.724 states/eV/f.u.
Formation enthalpy at 0 K: -0.104 eV/atom
Size of the total moment: 0.000 μB per atom
Total energy: -10.9 eV/cell

---

Entry 5:
The following is a DFT calculation (PBE) of BaZn2Au after structural relaxation.

```
BaZn2Au
1.0
4.976 0.000 0.000
0.000 4.976 0.000
2.488 2.488 9.363
Zn Au Ba
4 2 2
Direct
0.875 0.125 0.250 Zn
0.875 0.625 0.250 Zn
0.375 0.125 0.750 Zn
0.875 0.125 0.750 Zn
0.000 0.000 0.000 Au
0.750 0.250 0.500 Au
0.500 0.500 0.000 Ba
0.250 0.750 0.500 Ba
```

Summary:
Space group: I4_1/amd, No. 141
DOS at the Fermi energy: 3.528 states/eV/f.u.
Formation enthalpy at 0 K: -0.295 eV/atom
Size of the total moment: 0.000 μB per atom
Total energy: -17.9 eV/cell

---

Entry 6:
The following is a DFT calculation (PBE) of BaZnAu2 after structural relaxation.

```
BaZnAu2
1.0
6.359 0.000 0.000
0.000 7.417 0.000
0.000 0.000 8.335
Ba Zn Au
4 4 8
Direct
0.361 0.250 0.031 Ba
0.861 0.750 0.469 Ba
0.639 0.750 0.969 Ba
0.139 0.250 0.531 Ba
0.641 0.250 0.368 Zn
0.141 0.750 0.132 Zn
0.359 0.750 0.632 Zn
0.859 0.250 0.868 Zn
0.914 0.058 0.173 Au
0.414 0.942 0.327 Au
0.086 0.558 0.827 Au
0.586 0.442 0.673 Au
0.086 0.942 0.827 Au
0.586 0.058 0.673 Au
0.914 0.442 0.173 Au
0.414 0.558 0.327 Au
```

Summary:
Space group: Pnma, No. 62
DOS at the Fermi energy: 1.947 states/eV/f.u.
Formation enthalpy at 0 K: -0.531 eV/atom
Size of the total moment: 0.000 μB per atom
Total energy: -47.5 eV/cell

---

Entry 7:
The following is a DFT calculation (PBE) of Ba7ZnAu4 after structural relaxation.

```
Ba7ZnAu4
1.0
-1.784 3.953 1.595
-5.175 -2.679 -5.844
-4.474 -6.783 11.807
Ba Zn Au
7 1 4
Direct
0.739 0.478 0.353 Ba
0.250 0.499 0.645 Ba
0.348 0.696 0.952 Ba
0.656 0.311 0.049 Ba
0.042 0.083 0.787 Ba
0.961 0.922 0.215 Ba
0.501 0.003 0.495 Ba
0.883 0.766 0.581 Zn
0.703 0.406 0.817 Au
0.299 0.599 0.184 Au
0.002 0.003 0.001 Au
0.117 0.234 0.422 Au
```

Summary:
Space group: Cm, No. 8
DOS at the Fermi energy: 8.837 states/eV/f.u.
Formation enthalpy at 0 K: -0.497 eV/atom
Size of the total moment: 0.000 μB per atom
Total energy: -33.8 eV/cell

---

Entry 8:
The following is a DFT calculation (PBE) of Ba4Zn3Au5 after structural relaxation.

```
Ba4Zn3Au5
1.0
4.865 0.000 0.000
2.433 8.169 0.121
2.433 2.881 9.733
Ba Zn Au
4 3 5
Direct
0.946 0.258 0.850 Ba
0.256 0.770 0.718 Ba
0.744 0.230 0.282 Ba
0.054 0.742 0.150 Ba
0.401 0.828 0.370 Zn
0.000 0.500 0.500 Zn
0.599 0.172 0.630 Zn
0.587 0.953 0.873 Au
0.500 0.500 0.500 Au
0.284 0.406 0.027 Au
0.716 0.594 0.973 Au
0.413 0.047 0.127 Au
```

Summary:
Space group: C2/m, No. 12
DOS at the Fermi energy: 3.985 states/eV/f.u.
Formation enthalpy at 0 K: -0.491 eV/atom
Size of the total moment: 0.000 μB per atom
Total energy: -33.8 eV/cell

---

Entry 9:
The following is a DFT calculation (PBE) of Ba5Zn4Au after structural relaxation.

```
Ba5Zn4Au
1.0
-3.776 0.632 -1.398
0.061 -3.649 -1.816
-7.765 -8.625 17.071
Ba Zn Au
5 4 1
Direct
0.500 0.500 0.097 Ba
0.500 0.500 0.299 Ba
0.500 0.500 0.500 Ba
0.500 0.500 0.701 Ba
0.500 0.500 0.903 Ba
0.000 0.000 0.200 Zn
0.000 0.000 0.399 Zn
0.000 0.000 0.601 Zn
0.000 0.000 0.800 Zn
0.000 0.000 0.000 Au
```

Summary:
Space group: P4/mmm, No. 123
DOS at the Fermi energy: 9.460 states/eV/f.u.
Formation enthalpy at 0 K: -0.260 eV/atom
Size of the total moment: 0.000 μB per atom
Total energy: -20.6 eV/cell

---

Entry 10:
The following is a DFT calculation (PBE) of Ba8Zn2Au after structural relaxation.

```
Ba8Zn2Au
1.0
-1.043 4.792 3.229
-6.852 -3.353 2.762
7.990 -5.447 5.325
Ba Zn Au
8 2 1
Direct
0.409 0.574 0.818 Ba
0.664 0.971 0.327 Ba
0.789 0.674 0.578 Ba
0.963 0.196 0.927 Ba
0.211 0.326 0.422 Ba
0.336 0.029 0.673 Ba
0.591 0.426 0.182 Ba
0.037 0.804 0.073 Ba
0.811 0.275 0.622 Zn
0.189 0.725 0.378 Zn
0.500 0.000 0.000 Au
```

Summary:
Space group: C2/m, No. 12
DOS at the Fermi energy: 14.100 states/eV/f.u.
Formation enthalpy at 0 K: -0.157 eV/atom
Size of the total moment: 0.000 μB per atom
Relative energy among the computed polymorphs: 0.024 eV/atom
Total energy: -22.9 eV/cell

---

Entry 11:
The following is a DFT calculation (PBE) of Ba8Zn2Au after structural relaxation.

```
Ba8Zn2Au
1.0
-4.439 1.078 -0.483
-2.654 -7.448 7.771
3.426 7.650 7.425
Ba Zn Au
8 2 1
Direct
0.598 0.542 0.197 Ba
0.348 0.031 0.696 Ba
0.223 0.317 0.446 Ba
0.991 0.793 0.981 Ba
0.777 0.683 0.554 Ba
0.652 0.969 0.304 Ba
0.402 0.458 0.803 Ba
0.009 0.207 0.019 Ba
0.166 0.739 0.332 Zn
0.834 0.261 0.668 Zn
0.500 0.000 0.000 Au
```

Summary:
Space group: C2/m, No. 12
DOS at the Fermi energy: 11.911 states/eV/f.u.
Formation enthalpy at 0 K: -0.181 eV/atom
Size of the total moment: 0.000 μB per atom
Relative energy among the computed polymorphs: 0.000 eV/atom
Total energy: -23.2 eV/cell

---

Entry 12:
The following is a DFT calculation (PBE) of BaZnAu after structural relaxation.

```
BaZnAu
1.0
5.185 0.000 0.000
2.593 4.491 0.000
2.593 1.497 4.234
Au Ba Zn
1 1 1
Direct
0.750 0.750 0.750 Au
0.000 0.000 0.000 Ba
0.500 0.500 0.500 Zn
```

Summary:
Space group: F-43m, No. 216
DOS at the Fermi energy: 2.270 states/eV/f.u.
Formation enthalpy at 0 K: -0.331 eV/atom
Size of the total moment: 0.000 μB per atom
Total energy: -7.5 eV/cell

---

Entry 13:
The following is a DFT calculation (PBE) of Ba3Zn4Au4 after structural relaxation.

```
Ba3Zn4Au4
1.0
4.627 0.000 -0.745
-0.124 4.524 -0.772
-0.126 0.050 13.957
Ba Zn Au
3 4 4
Direct
0.350 0.850 0.700 Ba
0.650 0.150 0.300 Ba
0.000 0.000 0.000 Ba
0.250 0.250 0.499 Zn
0.101 0.601 0.202 Zn
0.899 0.399 0.798 Zn
0.750 0.750 0.501 Zn
0.800 0.300 0.600 Au
0.446 0.446 0.892 Au
0.554 0.554 0.108 Au
0.200 0.700 0.400 Au
```

Summary:
Space group: Immm, No. 71
DOS at the Fermi energy: 5.569 states/eV/f.u.
Formation enthalpy at 0 K: -0.532 eV/atom
Size of the total moment: 0.000 μB per atom
Relative energy among the computed polymorphs: 0.000 eV/atom
Total energy: -29.8 eV/cell

---

Entry 14:
The following is a DFT calculation (PBE) of BaZnAu2 after structural relaxation.

```
BaZnAu2
1.0
3.786 0.010 0.000
-0.009 3.786 0.000
0.000 0.000 6.974
Au Ba Zn
2 1 1
Direct
0.000 0.000 0.969 Au
0.500 0.500 0.209 Au
0.000 0.000 0.488 Ba
0.500 0.500 0.834 Zn
```

Summary:
Space group: P4mm, No. 99
DOS at the Fermi energy: 1.806 states/eV/f.u.
Formation enthalpy at 0 K: -0.317 eV/atom
Size of the total moment: 0.000 μB per atom
Total energy: -11.0 eV/cell

---

Entry 15:
The following is a DFT calculation (PBE) of BaZnAu2 after structural relaxation.

```
BaZnAu2
1.0
3.673 0.000 0.000
0.000 3.674 0.000
0.000 0.000 7.222
Au Ba Zn
2 1 1
Direct
0.000 0.000 0.944 Au
0.000 0.000 0.556 Au
0.500 0.500 0.250 Ba
0.500 0.500 0.750 Zn
```

Summary:
Space group: P4/mmm, No. 123
DOS at the Fermi energy: 1.930 states/eV/f.u.
Formation enthalpy at 0 K: -0.366 eV/atom
Size of the total moment: 0.000 μB per atom
Total energy: -11.2 eV/cell

---

Entry 16:
The following is a DFT calculation (PBE) of BaZn6Au3 after structural relaxation.

```
BaZn6Au3
1.0
-3.912 -0.258 6.430
-5.668 2.033 -3.367
0.484 -8.267 -0.037
Ba Zn Au
2 12 6
Direct
0.500 0.500 0.500 Ba
0.000 0.000 0.000 Ba
0.189 0.894 0.596 Zn
0.948 0.483 0.657 Zn
0.240 0.297 0.760 Zn
0.760 0.703 0.240 Zn
0.052 0.517 0.343 Zn
0.811 0.106 0.404 Zn
0.311 0.394 0.096 Zn
0.552 0.983 0.157 Zn
0.260 0.797 0.260 Zn
0.740 0.203 0.740 Zn
0.448 0.017 0.843 Zn
0.689 0.606 0.904 Zn
0.854 0.815 0.575 Au
0.500 0.000 0.500 Au
0.146 0.185 0.425 Au
0.646 0.315 0.075 Au
0.000 0.500 0.000 Au
0.354 0.685 0.925 Au
```

Summary:
Space group: P2_1/c, No. 14
DOS at the Fermi energy: 3.703 states/eV/f.u.
Formation enthalpy at 0 K: -0.227 eV/atom
Size of the total moment: 0.000 μB per atom
Total energy: -43.3 eV/cell

---

Entry 17:
The following is a DFT calculation (PBE) of BaZnAu after structural relaxation.

```
BaZnAu
1.0
-1.139 -0.710 -4.472
-5.023 -4.123 -0.503
-4.131 4.580 -2.112
Ba Zn Au
2 2 2
Direct
0.500 0.257 0.742 Ba
0.500 0.743 0.258 Ba
0.839 0.161 0.160 Zn
0.161 0.839 0.840 Zn
0.180 0.320 0.320 Au
0.820 0.680 0.680 Au
```

Summary:
Space group: Immm, No. 71
DOS at the Fermi energy: 2.445 states/eV/f.u.
Formation enthalpy at 0 K: -0.521 eV/atom
Size of the total moment: 0.000 μB per atom
Total energy: -16.1 eV/cell

---

Entry 18:
The following is a DFT calculation (PBE) of Ba3Zn2Au2 after structural relaxation.

```
Ba3Zn2Au2
1.0
4.578 0.000 -0.784
-0.182 4.563 -1.063
-0.488 0.114 10.910
Ba Zn Au
3 2 2
Direct
0.000 0.000 0.000 Ba
0.183 0.683 0.367 Ba
0.817 0.317 0.633 Ba
0.564 0.564 0.128 Zn
0.436 0.436 0.872 Zn
0.634 0.134 0.269 Au
0.366 0.866 0.731 Au
```

Summary:
Space group: Immm, No. 71
DOS at the Fermi energy: 5.217 states/eV/f.u.
Formation enthalpy at 0 K: -0.497 eV/atom
Size of the total moment: 0.000 μB per atom
Total energy: -18.3 eV/cell

---

Entry 19:
The following is a DFT calculation (PBE) of Ba12Zn3Au5 after structural relaxation.

```
Ba12Zn3Au5
1.0
-7.337 -7.617 13.542
15.645 -6.640 -2.525
1.348 16.873 2.954
Zn Au Ba
12 20 48
Direct
0.750 0.375 0.125 Zn
0.875 0.750 0.125 Zn
0.375 0.750 0.625 Zn
0.250 0.125 0.375 Zn
0.875 0.125 0.250 Zn
0.375 0.625 0.250 Zn
0.625 0.375 0.750 Zn
0.125 0.875 0.750 Zn
0.750 0.875 0.625 Zn
0.625 0.250 0.375 Zn
0.125 0.250 0.875 Zn
0.250 0.625 0.875 Zn
0.125 0.375 0.250 Au
0.000 0.500 0.000 Au
0.000 0.000 0.000 Au
0.375 0.250 0.125 Au
0.500 0.000 0.500 Au
0.500 0.500 0.000 Au
0.125 0.750 0.375 Au
0.750 0.125 0.875 Au
0.750 0.625 0.375 Au
0.375 0.125 0.750 Au
0.625 0.875 0.250 Au
0.500 0.500 0.500 Au
0.500 0.000 0.000 Au
0.000 0.000 0.500 Au
0.250 0.375 0.625 Au
0.250 0.875 0.125 Au
0.000 0.500 0.500 Au
0.875 0.250 0.625 Au
0.625 0.750 0.875 Au
0.875 0.625 0.750 Au
0.717 0.126 0.042 Ba
0.325 0.542 0.417 Ba
0.958 0.374 0.283 Ba
0.542 0.217 0.126 Ba
0.592 0.717 0.675 Ba
0.958 0.583 0.175 Ba
0.325 0.783 0.408 Ba
0.083 0.908 0.126 Ba
0.583 0.958 0.675 Ba
0.717 0.592 0.175 Ba
0.783 0.458 0.374 Ba
0.825 0.917 0.042 Ba
0.126 0.717 0.542 Ba
0.374 0.417 0.092 Ba
0.092 0.917 0.374 Ba
0.408 0.126 0.583 Ba
0.092 0.175 0.217 Ba
0.458 0.675 0.083 Ba
0.825 0.908 0.283 Ba
0.126 0.408 0.083 Ba
0.374 0.958 0.783 Ba
0.583 0.626 0.408 Ba
0.917 0.825 0.542 Ba
0.783 0.325 0.908 Ba
0.417 0.374 0.592 Ba
0.083 0.175 0.458 Ba
0.217 0.675 0.092 Ba
0.175 0.092 0.717 Ba
0.626 0.042 0.217 Ba
0.874 0.592 0.917 Ba
0.542 0.325 0.917 Ba
0.592 0.874 0.417 Ba
0.908 0.825 0.783 Ba
0.908 0.083 0.626 Ba
0.874 0.283 0.458 Ba
0.175 0.083 0.958 Ba
0.626 0.583 0.908 Ba
0.417 0.042 0.325 Ba
0.283 0.408 0.825 Ba
0.217 0.542 0.626 Ba
0.917 0.092 0.874 Ba
0.675 0.217 0.592 Ba
0.458 0.783 0.874 Ba
0.042 0.417 0.825 Ba
0.408 0.283 0.325 Ba
0.042 0.626 0.717 Ba
0.675 0.458 0.583 Ba
0.283 0.874 0.958 Ba
```

Summary:
Space group: Ia-3d, No. 230
DOS at the Fermi energy: 20.420 states/eV/f.u.
Formation enthalpy at 0 K: -0.247 eV/atom
Size of the total moment: 0.000 μB per atom
Total energy: -192.9 eV/cell